1.
! GGA-PBE Sm3In3CuPt2, relaxed; values from VASP
! Energy: -45.51 eV per cell
! Space-group type: P-62m, No. 189
&SYSTEM
  ibrav = 0, nat = 9, ntyp = 4
/
ATOMIC_SPECIES
Sm 150.36 Sm.upf
In 114.82 In.upf
Cu 63.55 Cu.upf
Pt 195.08 Pt.upf
CELL_PARAMETERS angstrom
7.718 0.000 0.000
-3.859 6.684 0.000
0.000 0.000 3.923
ATOMIC_POSITIONS crystal
Sm 0.000 0.587 0.000
Sm 0.413 0.413 0.000
Sm 0.587 0.000 0.000
In 0.000 0.249 0.500
In 0.249 0.000 0.500
In 0.751 0.751 0.500
Cu 0.000 0.000 0.000
Pt 0.333 0.667 0.500
Pt 0.667 0.333 0.500

2.
! GGA-PBE TlCuNiTe3, relaxed; values from VASP
! Energy: -43.50 eV per cell
! Space-group type: Cmcm, No. 63
&SYSTEM
  ibrav = 0, nat = 12, ntyp = 4
/
ATOMIC_SPECIES
Tl 204.38 Tl.upf
Cu 63.55 Cu.upf
Ni 58.69 Ni.upf
Te 127.60 Te.upf
CELL_PARAMETERS angstrom
1.930 -7.033 0.000
1.930 7.033 0.000
0.000 0.000 10.899
ATOMIC_POSITIONS crystal
Tl 0.248 0.752 0.750
Tl 0.752 0.248 0.250
Cu 0.412 0.588 0.250
Cu 0.588 0.412 0.750
Ni 0.000 0.000 0.000
Ni 0.000 0.000 0.500
Te 0.039 0.961 0.250
Te 0.379 0.621 0.016
Te 0.379 0.621 0.484
Te 0.621 0.379 0.516
Te 0.621 0.379 0.984
Te 0.961 0.039 0.750